Record 1
# InCo3P | the Alexandria database | PBE-GGA | relaxed
data_InCo3P
_chemical_formula_sum 'In1 Co3 P1'
_space_group_name_H-M_alt 'P m -3 m'
_space_group_IT_number 221
_space_group_name_Hall '-P 4 2 3'
_cell_length_a 4.1497
_cell_length_b 4.1497
_cell_length_c 4.1497
_cell_angle_alpha 90.00
_cell_angle_beta 90.00
_cell_angle_gamma 90.00
loop_
_atom_site_label
_atom_site_fract_x
_atom_site_fract_y
_atom_site_fract_z
In1 0.0000 0.0000 0.0000
Co1 0.0000 0.5000 0.5000
P1 0.5000 0.5000 0.5000
# Energy of formation from the pure elements, kJ per mole of atoms: 4.6
# Polymorph energy (0 for the lowest one), meV per atom: 0.0

***

Record 2
# Nb3ReHg | the Alexandria database | PBE-GGA | relaxed
data_Nb3ReHg
_chemical_formula_sum 'Nb3 Re1 Hg1'
_space_group_name_H-M_alt 'P m -3 m'
_space_group_IT_number 221
_space_group_name_Hall '-P 4 2 3'
_cell_length_a 4.9282
_cell_length_b 4.9282
_cell_length_c 4.9282
_cell_angle_alpha 90.00
_cell_angle_beta 90.00
_cell_angle_gamma 90.00
loop_
_atom_site_label
_atom_site_fract_x
_atom_site_fract_y
_atom_site_fract_z
Nb1 0.0000 0.0000 0.5000
Re1 0.5000 0.5000 0.5000
Hg1 0.0000 0.0000 0.0000
# Energy of formation from the pure elements, kJ per mole of atoms: 242.6
# Polymorph energy (0 for the lowest one), meV per atom: 1462.7

***

Record 3
# TcRu2Br | the Alexandria database | PBE-GGA | relaxed
data_TcRu2Br
_chemical_formula_sum 'Tc2 Ru4 Br2'
_space_group_name_H-M_alt 'I m m 2'
_space_group_IT_number 44
_cell_length_a 2.9438
_cell_length_b 4.4653
_cell_length_c 9.1597
_cell_angle_alpha 90.00
_cell_angle_beta 90.00
_cell_angle_gamma 90.00
loop_
_space_group_symop_operation_xyz
'x,y,z'
'-x,-y,z'
'-x,y,z'
'x,-y,z'
'x+1/2,y+1/2,z+1/2'
'-x+1/2,-y+1/2,z+1/2'
'-x+1/2,y+1/2,z+1/2'
'x+1/2,-y+1/2,z+1/2'
loop_
_atom_site_label
_atom_site_fract_x
_atom_site_fract_y
_atom_site_fract_z
Tc1 0.0000 0.0000 0.0000
Ru1 0.0000 0.0000 0.5407
Ru2 0.0000 0.5000 0.7621
Br1 0.0000 0.5000 0.2717
# Polymorph energy (0 for the lowest one), meV per atom: 285.6
# Formation energy from raw total energies, eV per atom: 0.826

***

Record 4
# Sc4Bi5H | the Alexandria database | PBE-GGA | relaxed
data_Sc4Bi5H
_chemical_formula_sum 'Sc8 Bi10 H2'
_space_group_name_H-M_alt 'C 1 2/m 1'
_space_group_IT_number 12
_cell_length_a 16.9892
_cell_length_b 3.3830
_cell_length_c 8.9097
_cell_angle_alpha 90.00
_cell_angle_beta 93.82
_cell_angle_gamma 90.00
loop_
_space_group_symop_operation_xyz
'x,y,z'
'-x,-y,-z'
'-x,y,-z'
'x,-y,z'
'x+1/2,y+1/2,z'
'-x+1/2,-y+1/2,-z'
'-x+1/2,y+1/2,-z'
'x+1/2,-y+1/2,z'
loop_
_atom_site_label
_atom_site_fract_x
_atom_site_fract_y
_atom_site_fract_z
Sc1 0.0085 0.0000 0.3208
Sc2 0.1489 0.5000 0.5657
Bi1 0.0000 0.5000 0.0000
Bi2 0.1558 0.0000 0.8698
Bi3 0.1821 0.0000 0.2885
H1 0.0000 0.5000 0.5000
# Calculated total energy, eV/atom: -5.060

***

Record 5
# YMgSi2 | the Alexandria database | PBE-GGA | relaxed
data_YMgSi2
_chemical_formula_sum 'Y1 Mg1 Si2'
_space_group_name_H-M_alt 'P m m 2'
_space_group_IT_number 25
_cell_length_a 3.5680
_cell_length_b 4.0436
_cell_length_c 5.8047
_cell_angle_alpha 90.00
_cell_angle_beta 90.00
_cell_angle_gamma 90.00
loop_
_space_group_symop_operation_xyz
'x,y,z'
'-x,-y,z'
'-x,y,z'
'x,-y,z'
loop_
_atom_site_label
_atom_site_fract_x
_atom_site_fract_y
_atom_site_fract_z
Y1 0.0000 0.0000 0.0000
Mg1 0.5000 0.5000 0.3295
Si1 0.0000 0.0000 0.5082
Si2 0.5000 0.5000 0.8018
# Formation energy from raw total energies, eV per atom: -0.043

***

Record 6
# Ce2Ga2Si | the Alexandria database | PBE-GGA | relaxed
data_Ce2Ga2Si
_chemical_formula_sum 'Ce8 Ga8 Si4'
_space_group_name_H-M_alt 'C 1 2/m 1'
_space_group_IT_number 12
_cell_length_a 11.0326
_cell_length_b 4.1639
_cell_length_c 11.0226
_cell_angle_alpha 90.00
_cell_angle_beta 119.68
_cell_angle_gamma 90.00
loop_
_space_group_symop_operation_xyz
'x,y,z'
'-x,-y,-z'
'-x,y,-z'
'x,-y,z'
'x+1/2,y+1/2,z'
'-x+1/2,-y+1/2,-z'
'-x+1/2,y+1/2,-z'
'x+1/2,-y+1/2,z'
loop_
_atom_site_label
_atom_site_fract_x
_atom_site_fract_y
_atom_site_fract_z
Ce1 0.1330 0.0000 0.4225
Ce2 0.2162 0.5000 0.1423
Ga1 0.0226 0.0000 0.9028
Ga2 0.1146 0.5000 0.6214
Si1 0.0487 0.5000 0.8047
# Formation energy from raw total energies, eV per atom: -0.565

***

Record 7
# HoHg3 | the Alexandria database | PBE-GGA | relaxed
data_HoHg3
_chemical_formula_sum 'Ho1 Hg3'
_space_group_name_H-M_alt 'P 4/m m m'
_space_group_IT_number 123
_space_group_name_Hall '-P 4 2'
_cell_length_a 4.4955
_cell_length_b 4.4955
_cell_length_c 4.8067
_cell_angle_alpha 90.00
_cell_angle_beta 90.00
_cell_angle_gamma 90.00
loop_
_atom_site_label
_atom_site_fract_x
_atom_site_fract_y
_atom_site_fract_z
Ho1 0.0000 0.0000 0.0000
Hg1 0.0000 0.5000 0.5000
Hg2 0.5000 0.5000 0.0000
# Energy of formation from the pure elements, kJ per mole of atoms: -29.4

***

Record 8
# Ta3AlMo | the Alexandria database | PBE-GGA | relaxed
data_Ta3AlMo
_chemical_formula_sum 'Ta3 Al1 Mo1'
_space_group_name_H-M_alt 'P m -3 m'
_space_group_IT_number 221
_space_group_name_Hall '-P 4 2 3'
_cell_length_a 4.6449
_cell_length_b 4.6449
_cell_length_c 4.6449
_cell_angle_alpha 90.00
_cell_angle_beta 90.00
_cell_angle_gamma 90.00
loop_
_atom_site_label
_atom_site_fract_x
_atom_site_fract_y
_atom_site_fract_z
Ta1 0.0000 0.0000 0.5000
Al1 0.0000 0.0000 0.0000
Mo1 0.5000 0.5000 0.5000
# Energy of formation from the pure elements, kJ per mole of atoms: 143.6
# Polymorph energy (0 for the lowest one), meV per atom: 135.3

***

Record 9
# BaAuN | the Alexandria database | PBE-GGA | relaxed
data_BaAuN
_chemical_formula_sum 'Ba4 Au4 N4'
_space_group_name_H-M_alt 'C m c m'
_space_group_IT_number 63
_space_group_name_Hall '-C 2c 2'
_cell_length_a 5.8136
_cell_length_b 6.0834
_cell_length_c 7.9143
_cell_angle_alpha 90.00
_cell_angle_beta 90.00
_cell_angle_gamma 90.00
loop_
_atom_site_label
_atom_site_fract_x
_atom_site_fract_y
_atom_site_fract_z
Ba1 0.0000 0.0353 0.2500
Au1 0.0000 0.5000 0.0000
N1 0.0000 0.3990 0.7500
# Formation energy from raw total energies, eV per atom: -0.262

***

Record 10
# Sm2MgTi | the Alexandria database | PBE-GGA | relaxed
data_Sm2MgTi
_chemical_formula_sum 'Sm8 Mg4 Ti4'
_space_group_name_H-M_alt 'F m -3 m'
_space_group_IT_number 225
_space_group_name_Hall '-F 4 2 3'
_cell_length_a 7.5325
_cell_length_b 7.5325
_cell_length_c 7.5325
_cell_angle_alpha 90.00
_cell_angle_beta 90.00
_cell_angle_gamma 90.00
loop_
_atom_site_label
_atom_site_fract_x
_atom_site_fract_y
_atom_site_fract_z
Sm1 0.2500 0.2500 0.2500
Mg1 0.0000 0.0000 0.0000
Ti1 0.0000 0.0000 0.5000
# Energy of formation from the pure elements, kJ per mole of atoms: 14.0
# Polymorph energy (0 for the lowest one), meV per atom: 40.7

***

Record 11
# Pr4SnTe2P | the Alexandria database | PBE-GGA | relaxed
data_Pr4SnTe2P
_chemical_formula_sum 'Pr4 Sn1 Te2 P1'
_space_group_name_H-M_alt 'P 1 2/m 1'
_space_group_IT_number 10
_cell_length_a 7.7106
_cell_length_b 4.4347
_cell_length_c 7.8226
_cell_angle_alpha 90.00
_cell_angle_beta 109.05
_cell_angle_gamma 90.00
loop_
_space_group_symop_operation_xyz
'x,y,z'
'-x,-y,-z'
'-x,y,-z'
'x,-y,z'
loop_
_atom_site_label
_atom_site_fract_x
_atom_site_fract_y
_atom_site_fract_z
Pr1 0.2302 0.0000 0.2225
Pr2 0.2449 0.5000 0.7671
Sn1 0.5000 0.0000 0.0000
Te1 0.0000 0.0000 0.5000
Te2 0.5000 0.5000 0.5000
P1 0.0000 0.5000 0.0000
# Formation energy from raw total energies, eV per atom: -1.329

***

Record 12
# Zr2TiNbCu | the Alexandria database | PBE-GGA | relaxed
data_Zr2TiNbCu
_chemical_formula_sum 'Zr2 Ti1 Nb1 Cu1'
_space_group_name_H-M_alt 'P 4/m m m'
_space_group_IT_number 123
_space_group_name_Hall '-P 4 2'
_cell_length_a 5.1106
_cell_length_b 5.1106
_cell_length_c 4.6897
_cell_angle_alpha 90.00
_cell_angle_beta 90.00
_cell_angle_gamma 90.00
loop_
_atom_site_label
_atom_site_fract_x
_atom_site_fract_y
_atom_site_fract_z
Zr1 0.0000 0.5000 0.0000
Ti1 0.0000 0.0000 0.5000
Nb1 0.0000 0.0000 0.0000
Cu1 0.5000 0.5000 0.5000
# Energy of formation from the pure elements, kJ per mole of atoms: 106.8
# Polymorph energy (0 for the lowest one), meV per atom: 365.5

***

Record 13
# Sr2Sc2Ni | the Alexandria database | PBE-GGA | relaxed
data_Sr2Sc2Ni
_chemical_formula_sum 'Sr4 Sc4 Ni2'
_space_group_name_H-M_alt 'I 4/m m m'
_space_group_IT_number 139
_space_group_name_Hall '-I 4 2'
_cell_length_a 4.1582
_cell_length_b 4.1582
_cell_length_c 17.2064
_cell_angle_alpha 90.00
_cell_angle_beta 90.00
_cell_angle_gamma 90.00
loop_
_atom_site_label
_atom_site_fract_x
_atom_site_fract_y
_atom_site_fract_z
Sr1 0.0000 0.5000 0.2500
Sc1 0.0000 0.0000 0.0779
Ni1 0.0000 0.0000 0.5000
# Energy of formation from the pure elements, kJ per mole of atoms: 98.0
# Polymorph energy (0 for the lowest one), meV per atom: 810.3